First-principles (PBE-GGA) data for a relaxed structure of Rb2CeGaBr6, as listed in Alexandria.

Results
- energy relative to the elements, uncorrected (kJ/mol of atoms) = -151
- spin magnetization (μB/cell) = 2.0
- E_tot (eV per atom) = -3.657
- SG = No. 14

Lattice parameters (Å, degrees): 8.0292 8.4660 11.5303 90.00 89.12 90.00
Positions (direct):
Ga: 0.0000 0.5000 0.5000
Ga: 0.5000 0.0000 0.0000
Ce: 0.0000 0.5000 0.0000
Ce: 0.5000 0.0000 0.5000
Br: 0.2943 0.6906 0.0510
Br: 0.3145 0.7116 0.4455
Br: 0.1855 0.2116 0.0545
Br: 0.7943 0.8094 0.5510
Br: 0.6855 0.2884 0.5545
Br: 0.8946 0.5313 0.2424
Br: 0.2057 0.1906 0.4490
Br: 0.1054 0.4687 0.7576
Br: 0.7057 0.3094 0.9490
Br: 0.8145 0.7884 0.9455
Br: 0.3946 0.9687 0.7424
Br: 0.6054 0.0313 0.2576
Rb: 0.4745 0.4270 0.2478
Rb: 0.9745 0.0730 0.7478
Rb: 0.0255 0.9270 0.2522
Rb: 0.5255 0.5730 0.7522

***

First-principles (PBE-GGA) data for a relaxed structure of TlFeP2, as listed in Alexandria.

Results
- ΔE to the lowest computed polymorph (meV per atom) = 96
- spin magnetization (μB/cell) = 1.0
- E_tot (eV per atom) = -5.350
- SG = No. 123

Lattice parameters (Å, degrees): 2.8910 2.8910 8.5928 90.00 90.00 89.93
Positions (direct):
P: 0.0000 0.0000 0.9006
P: 0.0000 0.0000 0.5994
Tl: 0.5000 0.5000 0.2500
Fe: 0.5000 0.5000 0.7500

***

First-principles (PBE-GGA) data for a relaxed structure of Nd6Au5, as listed in Alexandria.

Results
- spin magnetization (μB/cell) = 0.0
- E_tot (eV per atom) = -4.750
- SG = No. 71

Lattice parameters (Å, degrees): 5.2203 7.4217 9.0373 114.24 106.79 90.00
Positions (direct):
Nd: 0.1660 0.9154 0.3319
Nd: 0.8340 0.0846 0.6681
Nd: 0.8341 0.5835 0.6681
Nd: 0.1659 0.4165 0.3319
Nd: 0.5001 0.7485 0.0000
Nd: 0.4999 0.2515 0.0000
Au: 0.0000 0.5000 0.0000
Au: 0.6688 0.6688 0.3375
Au: 0.3393 0.8393 0.6786
Au: 0.6607 0.1607 0.3214
Au: 0.3312 0.3312 0.6625

***

First-principles (PBE-GGA) data for a relaxed structure of VZn4Ni15, as listed in Alexandria.

Results
- spin magnetization (μB/cell) = 4.2
- E_tot (eV per atom) = -5.198
- SG = No. 123

Lattice parameters (Å, degrees): 3.5690 3.5690 17.8858 90.00 90.00 90.00
Positions (direct):
Ni: 0.5000 0.0000 0.9033
Ni: 0.0000 0.5000 0.9033
Ni: 0.5000 0.5000 0.8015
Ni: 0.5000 0.0000 0.2993
Ni: 0.0000 0.5000 0.0967
Ni: 0.5000 0.0000 0.0967
Ni: 0.0000 0.5000 0.5000
Ni: 0.5000 0.5000 0.4000
Ni: 0.5000 0.0000 0.7007
Ni: 0.5000 0.5000 0.0000
Ni: 0.0000 0.5000 0.2993
Ni: 0.5000 0.0000 0.5000
Ni: 0.5000 0.5000 0.6000
Ni: 0.5000 0.5000 0.1985
Ni: 0.0000 0.5000 0.7007
V: 0.0000 0.0000 0.0000
Zn: 0.0000 0.0000 0.6005
Zn: 0.0000 0.0000 0.1994
Zn: 0.0000 0.0000 0.3995
Zn: 0.0000 0.0000 0.8006

***

First-principles (PBE-GGA) data for a relaxed structure of SrNd2MgHg4, as listed in Alexandria.

Results
- spin magnetization (μB/cell) = 0.0
- E_tot (eV per atom) = -2.198
- SG = No. 166

Lattice parameters (Å, degrees): 5.3252 5.3252 9.4339 73.61 73.61 60.00
Positions (direct):
Sr: 0.0000 0.0000 0.0000
Hg: 0.8743 0.8743 0.3770
Hg: 0.1257 0.1257 0.6230
Hg: 0.6198 0.6198 0.1406
Hg: 0.3802 0.3802 0.8594
Nd: 0.7562 0.7562 0.7313
Nd: 0.2438 0.2438 0.2687
Mg: 0.5000 0.5000 0.5000

***

First-principles (PBE-GGA) data for a relaxed structure of PaNbZn17, as listed in Alexandria.

Results
- spin magnetization (μB/cell) = 0.9
- E_tot (eV per atom) = -2.192
- SG = No. 160

Lattice parameters (Å, degrees): 6.7134 6.7134 6.7134 82.74 82.74 82.74
Positions (direct):
Zn: 0.3514 0.8612 0.3514
Zn: 0.1831 0.6339 0.6339
Zn: 0.5125 0.9860 0.9860
Zn: 0.6339 0.1831 0.6339
Zn: 0.6954 0.2975 0.0062
Zn: 0.9057 0.9057 0.9057
Zn: 0.9860 0.9860 0.5125
Zn: 0.9860 0.5125 0.9860
Zn: 0.8612 0.3514 0.3514
Zn: 0.0062 0.2975 0.6954
Zn: 0.2975 0.0062 0.6954
Zn: 0.1062 0.1062 0.1062
Zn: 0.2975 0.6954 0.0062
Zn: 0.0062 0.6954 0.2975
Zn: 0.3514 0.3514 0.8612
Zn: 0.6954 0.0062 0.2975
Zn: 0.6339 0.6339 0.1831
Pa: 0.6641 0.6641 0.6641
Nb: 0.3264 0.3264 0.3264

***

> Which of these has the highest E_tot?

PaNbZn17

***

> Which of these has the lowest E_tot?

TlFeP2

***

> E_tot of number 6 (PaNbZn17)?

-2.192 eV per atom

***

> Look up the spin magnetization of the third one.

0.0 μB/cell